! K2ZnGaBr | the Alexandria database | GGA-PBE | relaxed; values from VASP
! ΔE_f (raw) in eV/atom: 0.08
! ρ in g/cm3: 2.05
! Total magnetic moment in μB/cell: 0.78
&SYSTEM
  ibrav = 0, nat = 5, ntyp = 4
/
ATOMIC_SPECIES
K 39.10 K.upf
Zn 65.41 Zn.upf
Ga 69.72 Ga.upf
Br 79.90 Br.upf
CELL_PARAMETERS angstrom
-0.482 -4.609 -4.390
-1.247 -3.867 4.197
-6.218 1.284 -0.665
ATOMIC_POSITIONS angstrom
K -3.109 0.642 -0.333
K -0.241 -2.305 -2.195
Zn 0.000 0.000 0.000
Ga -3.974 -3.596 -0.429
Br -0.624 -1.934 2.099


! KZr2GaBr | the Alexandria database | GGA-PBE | relaxed; values from VASP
! ΔE_f (raw) in eV/atom: 1.74
! ρ in g/cm3: 4.27
! Total magnetic moment in μB/cell: 0.00
&SYSTEM
  ibrav = 0, nat = 5, ntyp = 4
/
ATOMIC_SPECIES
K 39.10 K.upf
Ga 69.72 Ga.upf
Br 79.90 Br.upf
Zr 91.22 Zr.upf
CELL_PARAMETERS angstrom
-2.155 -2.555 -3.909
-3.942 -1.777 3.334
-2.832 4.138 -1.143
ATOMIC_POSITIONS angstrom
K 0.000 0.000 0.000
Ga -1.971 -0.888 1.667
Br -4.465 -0.096 -0.859
Zr -1.416 2.069 -0.572
Zr -1.078 -1.277 -1.955


! La3Ga2Br2 | the Alexandria database | GGA-PBE | relaxed; values from VASP
! ΔE_f (raw) in eV/atom: -1.06
! ρ in g/cm3: 5.59
! Total magnetic moment in μB/cell: 0.00
&SYSTEM
  ibrav = 0, nat = 7, ntyp = 3
/
ATOMIC_SPECIES
La 138.91 La.upf
Ga 69.72 Ga.upf
Br 79.90 Br.upf
CELL_PARAMETERS angstrom
-2.318 0.348 3.506
-1.687 -4.751 -3.184
7.413 -2.788 5.185
ATOMIC_POSITIONS angstrom
La 0.000 0.000 0.000
La -0.703 -3.363 2.404
La 4.111 -3.828 3.103
Ga 4.734 -4.170 6.086
Ga -1.326 -3.021 -0.579
Br 1.341 -5.286 3.952
Br 2.067 -1.906 1.555


! LaGa3Br | the Alexandria database | GGA-PBE | relaxed; values from VASP
! ΔE_f (raw) in eV/atom: 0.16
! ρ in g/cm3: 4.52
! ΔE to the lowest computed polymorph in eV per atom: 0.000
! Total magnetic moment in μB/cell: 0.00
&SYSTEM
  ibrav = 0, nat = 5, ntyp = 3
/
ATOMIC_SPECIES
Ga 69.72 Ga.upf
Br 79.90 Br.upf
La 138.91 La.upf
CELL_PARAMETERS angstrom
-3.616 1.722 3.619
-3.026 -4.369 -0.945
2.628 -2.662 3.892
ATOMIC_POSITIONS angstrom
Ga -1.513 -2.185 -0.472
Ga 1.314 -1.331 1.946
Ga -1.808 0.861 1.809
Br 0.000 0.000 0.000
La -2.007 -2.655 3.283


! La2Ga2Br | the Alexandria database | GGA-PBE | relaxed; values from VASP
! ΔE_f (raw) in eV/atom: -1.04
! ρ in g/cm3: 6.22
! Total magnetic moment in μB/cell: 0.00
&SYSTEM
  ibrav = 0, nat = 5, ntyp = 3
/
ATOMIC_SPECIES
La 138.91 La.upf
Ga 69.72 Ga.upf
Br 79.90 Br.upf
CELL_PARAMETERS angstrom
4.080 -0.012 -1.332
-2.258 3.651 -0.028
0.577 0.421 8.656
ATOMIC_POSITIONS angstrom
La 2.595 1.612 1.016
La -0.197 2.449 6.280
Ga 1.338 0.858 4.081
Ga 1.060 3.203 3.215
Br 0.000 0.000 0.000


! La5Ga2Br | the Alexandria database | GGA-PBE | relaxed; values from VASP
! ΔE_f (raw) in eV/atom: -0.55
! ρ in g/cm3: 6.25
! Total magnetic moment in μB/cell: 4.50
&SYSTEM
  ibrav = 0, nat = 16, ntyp = 3
/
ATOMIC_SPECIES
La 138.91 La.upf
Ga 69.72 Ga.upf
Br 79.90 Br.upf
CELL_PARAMETERS angstrom
-5.041 6.406 -0.162
-3.275 -2.753 -6.941
-0.778 -5.613 7.382
ATOMIC_POSITIONS angstrom
La -5.444 -2.576 0.368
La -7.502 0.861 -4.813
La 0.000 0.000 0.000
La -4.158 1.827 -3.552
La -1.591 -2.820 5.091
La -4.678 -0.093 3.810
La -2.358 -5.304 1.649
La -4.416 -1.866 -3.532
La -6.736 3.344 -1.370
La -3.650 0.617 -0.090
Ga -1.859 -0.226 -2.619
Ga -3.565 3.662 -0.973
Ga -4.751 -0.008 -6.130
Ga -6.456 3.880 -4.484
Br -6.625 -0.066 -1.637
Br -2.468 -1.893 1.915


! LaGaBr2 | the Alexandria database | GGA-PBE | relaxed; values from VASP
! ΔE_f (raw) in eV/atom: -0.88
! ρ in g/cm3: 4.92
! ΔE to the lowest computed polymorph in eV per atom: 0.125
! Total magnetic moment in μB/cell: 0.00
&SYSTEM
  ibrav = 0, nat = 8, ntyp = 3
/
ATOMIC_SPECIES
Ga 69.72 Ga.upf
Br 79.90 Br.upf
La 138.91 La.upf
CELL_PARAMETERS angstrom
-1.448 0.195 4.755
4.712 -0.635 1.461
2.974 9.742 3.108
ATOMIC_POSITIONS angstrom
Ga 1.632 -0.220 3.108
Ga 4.659 4.444 3.839
Br 0.416 2.479 3.968
Br 3.519 2.062 2.248
Br 3.418 7.146 4.651
Br 5.123 6.917 7.781
La 0.000 0.000 0.000
La 1.579 4.858 5.486


! LaGaBr4 | the Alexandria database | GGA-PBE | relaxed; values from VASP
! ΔE_f (raw) in eV/atom: -1.49
! ρ in g/cm3: 3.57
! Total magnetic moment in μB/cell: 0.00
&SYSTEM
  ibrav = 0, nat = 12, ntyp = 3
/
ATOMIC_SPECIES
La 138.91 La.upf
Ga 69.72 Ga.upf
Br 79.90 Br.upf
CELL_PARAMETERS angstrom
4.458 0.000 0.830
2.014 9.543 1.569
0.146 0.322 11.608
ATOMIC_POSITIONS angstrom
La 3.236 4.771 1.199
La 0.073 0.161 5.804
Ga 4.895 7.238 4.702
Ga 1.723 2.627 9.305
Br 3.562 2.379 11.827
Br 4.346 2.876 7.613
Br 3.968 9.171 9.659
Br 1.501 5.627 10.521
Br 2.651 0.694 4.348
Br 3.057 7.486 2.180
Br 2.273 6.989 6.394
Br 5.117 4.239 3.485


! LaGa2Br | the Alexandria database | GGA-PBE | relaxed; values from VASP
! ΔE_f (raw) in eV/atom: -0.17
! ρ in g/cm3: 5.36
! ΔE to the lowest computed polymorph in eV per atom: 0.148
! Total magnetic moment in μB/cell: 0.00
&SYSTEM
  ibrav = 0, nat = 4, ntyp = 3
/
ATOMIC_SPECIES
Ga 69.72 Ga.upf
Br 79.90 Br.upf
La 138.91 La.upf
CELL_PARAMETERS angstrom
2.177 -4.235 2.534
-1.675 -4.993 -1.166
3.242 -3.374 -2.683
ATOMIC_POSITIONS angstrom
Ga 0.936 -3.151 -0.329
Ga 2.808 -9.453 -0.986
Br 0.000 0.000 0.000
La 1.872 -6.302 -0.658


! LaGa3Br | the Alexandria database | GGA-PBE | relaxed; values from VASP
! ΔE_f (raw) in eV/atom: 0.57
! ρ in g/cm3: 3.40
! ΔE to the lowest computed polymorph in eV per atom: 0.411
! Total magnetic moment in μB/cell: 0.00
&SYSTEM
  ibrav = 0, nat = 5, ntyp = 3
/
ATOMIC_SPECIES
Ga 69.72 Ga.upf
Br 79.90 Br.upf
La 138.91 La.upf
CELL_PARAMETERS angstrom
-4.537 -3.778 0.617
3.413 -3.559 3.305
-1.733 2.881 4.893
ATOMIC_POSITIONS angstrom
Ga 1.707 -1.780 1.652
Ga -0.867 1.440 2.446
Ga -2.269 -1.889 0.309
Br -1.428 -2.228 4.407
La 0.000 0.000 0.000


! LaGa2Br5 | the Alexandria database | GGA-PBE | relaxed; values from VASP
! ΔE_f (raw) in eV/atom: -1.25
! ρ in g/cm3: 3.61
! Total magnetic moment in μB/cell: 0.00
&SYSTEM
  ibrav = 0, nat = 16, ntyp = 3
/
ATOMIC_SPECIES
La 138.91 La.upf
Ga 69.72 Ga.upf
Br 79.90 Br.upf
CELL_PARAMETERS angstrom
-5.965 -0.467 5.156
3.943 -0.022 10.610
-1.815 7.247 4.607
ATOMIC_POSITIONS angstrom
La -3.156 1.820 14.668
La -6.031 5.455 11.663
Ga -1.839 1.824 10.442
Ga 1.491 2.274 13.737
Ga -4.418 5.482 7.182
Ga -1.678 5.886 10.986
Br -4.066 4.098 9.943
Br -3.499 0.246 12.221
Br -0.217 0.028 3.618
Br 0.958 0.632 11.090
Br -2.289 4.201 5.686
Br -1.306 3.472 13.087
Br -1.989 -0.076 7.877
Br -2.813 3.389 17.118
Br -4.731 0.097 4.755
Br 0.444 4.032 8.810


! LaGaBr2 | the Alexandria database | GGA-PBE | relaxed; values from VASP
! ΔE_f (raw) in eV/atom: -0.88
! ρ in g/cm3: 5.43
! ΔE to the lowest computed polymorph in eV per atom: 0.130
! Total magnetic moment in μB/cell: 1.51
&SYSTEM
  ibrav = 0, nat = 4, ntyp = 3
/
ATOMIC_SPECIES
Ga 69.72 Ga.upf
Br 79.90 Br.upf
La 138.91 La.upf
CELL_PARAMETERS angstrom
0.000 3.832 3.832
3.832 0.000 3.832
3.832 3.832 0.000
ATOMIC_POSITIONS angstrom
Ga 0.000 0.000 0.000
Br 1.916 1.916 1.916
Br 5.749 5.749 5.749
La 3.832 3.832 3.832